# 1
Below is a relaxed NaYOs2Cl crystal, with properties calculated at the PBEsol level.

Summary:
Formation energy (no corrections) (meV/atom): 1524
Total energy (eV per atom): -5.408

Cell lengths 5.056, 5.056, 5.312 Å; angles 90.00, 90.00, 90.00 degrees
Sites, in units of the cell vectors:
Na 0.000 0.000 0.000
Y 0.500 0.500 0.500
Os 0.000 0.500 0.500
Os 0.500 0.000 0.500
Cl 0.500 0.500 0.000


# 2
Below is a relaxed NaPPbCl2 crystal, with properties calculated at the PBEsol level.

Summary:
Formation energy (no corrections) (meV/atom): -325
Total energy (eV per atom): -3.366

Cell lengths 5.549, 5.549, 5.302 Å; angles 90.00, 90.00, 90.00 degrees
Sites, in units of the cell vectors:
Na 0.000 0.000 0.000
P 0.500 0.500 0.000
Pb 0.500 0.500 0.500
Cl 0.000 0.500 0.500
Cl 0.500 0.000 0.500


# 3
Below is a relaxed NaP2PdCl crystal, with properties calculated at the PBEsol level.

Summary:
Formation energy (no corrections) (meV/atom): -7
Total energy (eV per atom): -4.196

Cell lengths 4.394, 4.394, 6.923 Å; angles 90.00, 90.00, 90.00 degrees
Sites, in units of the cell vectors:
Na 0.000 0.000 0.000
P 0.000 0.500 0.500
P 0.500 0.000 0.500
Pd 0.500 0.500 0.500
Cl 0.500 0.500 0.000


# 4
Below is a relaxed NaSbPCl2 crystal, with properties calculated at the PBEsol level.

Summary:
Formation energy (no corrections) (meV/atom): -296
Total energy (eV per atom): -3.449

Cell lengths 5.421, 5.421, 4.935 Å; angles 90.00, 90.00, 90.00 degrees
Sites, in units of the cell vectors:
Na 0.000 0.000 0.000
Sb 0.500 0.500 0.500
P 0.500 0.500 0.000
Cl 0.000 0.500 0.500
Cl 0.500 0.000 0.500


# 5
Below is a relaxed NaP2SeCl crystal, with properties calculated at the PBEsol level.

Summary:
Energy above the most stable polymorph in this dataset (eV per atom): 0.000
Formation energy (no corrections) (meV/atom): 325
Total energy (eV per atom): -3.443

Cell lengths 4.569, 4.569, 6.796 Å; angles 90.00, 90.00, 90.00 degrees
Sites, in units of the cell vectors:
Na 0.000 0.000 0.000
P 0.000 0.500 0.500
P 0.500 0.000 0.500
Se 0.500 0.500 0.500
Cl 0.500 0.500 0.000


# 6
Below is a relaxed NaP2SeCl crystal, with properties calculated at the PBEsol level.

Summary:
Energy above the most stable polymorph in this dataset (eV per atom): 0.771
Formation energy (no corrections) (meV/atom): 1096
Total energy (eV per atom): -2.672

Cell lengths 4.986, 4.986, 4.517 Å; angles 90.00, 90.00, 90.00 degrees
Sites, in units of the cell vectors:
Na 0.000 0.000 0.000
P 0.000 0.500 0.000
P 0.500 0.000 0.000
Se 0.500 0.500 0.500
Cl 0.000 0.000 0.500


# 7
Below is a relaxed NaSiPCl2 crystal, with properties calculated at the PBEsol level.

Summary:
Formation energy (no corrections) (meV/atom): 517
Total energy (eV per atom): -2.874

Cell lengths 4.756, 4.756, 5.281 Å; angles 90.00, 90.00, 90.00 degrees
Sites, in units of the cell vectors:
Na 0.000 0.000 0.000
Si 0.500 0.500 0.500
P 0.000 0.000 0.500
Cl 0.000 0.500 0.000
Cl 0.500 0.000 0.000


# 8
Below is a relaxed NaSnPCl2 crystal, with properties calculated at the PBEsol level.

Summary:
Formation energy (no corrections) (meV/atom): -381
Total energy (eV per atom): -3.474

Cell lengths 5.338, 5.338, 5.085 Å; angles 90.00, 90.00, 90.00 degrees
Sites, in units of the cell vectors:
Na 0.000 0.000 0.000
Sn 0.500 0.500 0.500
P 0.500 0.500 0.000
Cl 0.000 0.500 0.500
Cl 0.500 0.000 0.500


# 9
Below is a relaxed NaSrP2Cl crystal, with properties calculated at the PBEsol level.

Summary:
Formation energy (no corrections) (meV/atom): -61
Total energy (eV per atom): -3.427

Cell lengths 4.854, 4.854, 5.217 Å; angles 90.00, 90.00, 90.00 degrees
Sites, in units of the cell vectors:
Na 0.000 0.000 0.000
Sr 0.500 0.500 0.500
P 0.000 0.500 0.000
P 0.500 0.000 0.000
Cl 0.000 0.000 0.500


# 10
Below is a relaxed NaTaP2Cl crystal, with properties calculated at the PBEsol level.

Summary:
Formation energy (no corrections) (meV/atom): -351
Total energy (eV per atom): -5.860

Cell lengths 4.773, 4.773, 5.008 Å; angles 90.00, 90.00, 90.00 degrees
Sites, in units of the cell vectors:
Na 0.000 0.000 0.000
Ta 0.500 0.500 0.500
P 0.000 0.500 0.500
P 0.500 0.000 0.500
Cl 0.500 0.500 0.000


# 11
Below is a relaxed NaYPCl2 crystal, with properties calculated at the PBEsol level.

Summary:
Formation energy (no corrections) (meV/atom): -1155
Total energy (eV per atom): -4.760

Cell lengths 5.217, 5.217, 5.396 Å; angles 90.00, 90.00, 90.00 degrees
Sites, in units of the cell vectors:
Na 0.000 0.000 0.000
Y 0.500 0.500 0.500
P 0.500 0.500 0.000
Cl 0.000 0.500 0.500
Cl 0.500 0.000 0.500


# 12
Below is a relaxed NaZnP2Cl crystal, with properties calculated at the PBEsol level.

Summary:
Formation energy (no corrections) (meV/atom): 1039
Total energy (eV per atom): -2.276

Cell lengths 4.952, 4.952, 4.794 Å; angles 90.00, 90.00, 90.00 degrees
Sites, in units of the cell vectors:
Na 0.000 0.000 0.000
Zn 0.500 0.500 0.500
P 0.000 0.500 0.000
P 0.500 0.000 0.000
Cl 0.000 0.000 0.500


# 13
Below is a relaxed NaPb3Cl crystal, with properties calculated at the PBEsol level.

Summary:
Formation energy (no corrections) (meV/atom): 116
Total energy (eV per atom): -2.964

Cell lengths 5.531, 5.531, 5.531 Å; angles 90.00, 90.00, 90.00 degrees
Sites, in units of the cell vectors:
Na 0.000 0.000 0.000
Pb 0.000 0.500 0.500
Pb 0.500 0.000 0.500
Pb 0.500 0.500 0.000
Cl 0.500 0.500 0.500


# 14
Below is a relaxed NaRhPb2Cl crystal, with properties calculated at the PBEsol level.

Summary:
Formation energy (no corrections) (meV/atom): 465
Total energy (eV per atom): -3.443

Cell lengths 5.387, 5.387, 4.579 Å; angles 90.00, 90.00, 90.00 degrees
Sites, in units of the cell vectors:
Na 0.000 0.000 0.000
Rh 0.500 0.500 0.000
Pb 0.000 0.500 0.500
Pb 0.500 0.000 0.500
Cl 0.000 0.000 0.500


# 15
Below is a relaxed NaPdCl2 crystal, with properties calculated at the PBEsol level.

Summary:
Energy above the most stable polymorph in this dataset (eV per atom): 0.010
Formation energy (no corrections) (meV/atom): -713
Total energy (eV per atom): -3.556

Cell lengths 8.087, 8.087, 8.087 Å; angles 25.93, 25.93, 25.93 degrees
Sites, in units of the cell vectors:
Na 0.000 0.000 0.000
Pd 0.500 0.500 0.500
Cl 0.404 0.404 0.404
Cl 0.596 0.596 0.596


# 16
Below is a relaxed Na2PdCl4 crystal, with properties calculated at the PBEsol level.

Summary:
Formation energy (no corrections) (meV/atom): -1234
Total energy (eV per atom): -3.633

Cell lengths 9.480, 9.480, 7.492 Å; angles 90.00, 90.00, 90.00 degrees
Sites, in units of the cell vectors:
Na 0.050 0.550 0.250
Na 0.050 0.950 0.750
Na 0.450 0.550 0.750
Na 0.450 0.950 0.250
Na 0.550 0.050 0.750
Na 0.550 0.450 0.250
Na 0.950 0.050 0.250
Na 0.950 0.450 0.750
Pd 0.250 0.250 0.059
Pd 0.250 0.250 0.559
Pd 0.750 0.750 0.441
Pd 0.750 0.750 0.941
Cl 0.013 0.200 0.563
Cl 0.013 0.300 0.063
Cl 0.200 0.013 0.063
Cl 0.200 0.487 0.563
Cl 0.300 0.013 0.563
Cl 0.300 0.487 0.063
Cl 0.487 0.200 0.063
Cl 0.487 0.300 0.563
Cl 0.513 0.700 0.437
Cl 0.513 0.800 0.937
Cl 0.700 0.513 0.937
Cl 0.700 0.987 0.437
Cl 0.800 0.513 0.437
Cl 0.800 0.987 0.937
Cl 0.987 0.700 0.937
Cl 0.987 0.800 0.437


# 17
Below is a relaxed NaPd3Cl crystal, with properties calculated at the PBEsol level.

Summary:
Formation energy (no corrections) (meV/atom): 152
Total energy (eV per atom): -4.104

Cell lengths 4.526, 4.526, 4.526 Å; angles 90.00, 90.00, 90.00 degrees
Sites, in units of the cell vectors:
Na 0.000 0.000 0.000
Pd 0.000 0.500 0.500
Pd 0.500 0.000 0.500
Pd 0.500 0.500 0.000
Cl 0.500 0.500 0.500


# 18
Below is a relaxed NaPdCl2 crystal, with properties calculated at the PBEsol level.

Summary:
Energy above the most stable polymorph in this dataset (eV per atom): 0.000
Formation energy (no corrections) (meV/atom): -723
Total energy (eV per atom): -3.566

Cell lengths 7.832, 7.832, 7.832 Å; angles 140.02, 140.02, 57.82 degrees
Sites, in units of the cell vectors:
Na 0.000 0.000 0.000
Na 0.750 0.250 0.500
Pd 0.250 0.750 0.500
Pd 0.500 0.500 0.000
Cl 0.170 0.625 0.045
Cl 0.375 0.420 0.545
Cl 0.580 0.125 0.955
Cl 0.875 0.830 0.455


# 19
Below is a relaxed Na2TaPdCl crystal, with properties calculated at the PBEsol level.

Summary:
Formation energy (no corrections) (meV/atom): 626
Total energy (eV per atom): -4.038

Cell lengths 5.390, 5.390, 4.787 Å; angles 90.00, 90.00, 90.00 degrees
Sites, in units of the cell vectors:
Na 0.000 0.500 0.000
Na 0.500 0.000 0.000
Ta 0.000 0.000 0.500
Pd 0.000 0.000 0.000
Cl 0.500 0.500 0.500


# 20
Below is a relaxed NaPtCl2 crystal, with properties calculated at the PBEsol level.

Summary:
Formation energy (no corrections) (meV/atom): -225
Total energy (eV per atom): -3.320

Cell lengths 4.643, 4.643, 4.643 Å; angles 60.00, 60.00, 60.00 degrees
Sites, in units of the cell vectors:
Na 0.000 0.000 0.000
Pt 0.500 0.500 0.500
Cl 0.250 0.250 0.250
Cl 0.750 0.750 0.750


# 21
Below is a relaxed NaSn2PtCl crystal, with properties calculated at the PBEsol level.

Summary:
Formation energy (no corrections) (meV/atom): -345
Total energy (eV per atom): -4.123

Cell lengths 4.992, 4.992, 5.708 Å; angles 90.00, 90.00, 90.00 degrees
Sites, in units of the cell vectors:
Na 0.000 0.000 0.000
Sn 0.000 0.500 0.500
Sn 0.500 0.000 0.500
Pt 0.000 0.000 0.500
Cl 0.500 0.500 0.000


# 22
Below is a relaxed Rb3NaCl crystal, with properties calculated at the PBEsol level.

Summary:
Formation energy (no corrections) (meV/atom): -722
Total energy (eV per atom): -2.018

Cell lengths 6.506, 6.506, 6.506 Å; angles 90.00, 90.00, 90.00 degrees
Sites, in units of the cell vectors:
Rb 0.000 0.000 0.500
Rb 0.000 0.500 0.000
Rb 0.500 0.000 0.000
Na 0.500 0.500 0.500
Cl 0.000 0.000 0.000


# 23
Below is a relaxed RbNaCl2 crystal, with properties calculated at the PBEsol level.

Summary:
Formation energy (no corrections) (meV/atom): -1776
Total energy (eV per atom): -3.386

Cell lengths 6.877, 6.877, 6.877 Å; angles 112.32, 112.32, 103.92 degrees
Sites, in units of the cell vectors:
Rb 0.000 0.000 0.000
Rb 0.750 0.250 0.500
Na 0.250 0.750 0.500
Na 0.500 0.500 0.000
Cl 0.177 0.125 0.552
Cl 0.375 0.823 0.948
Cl 0.573 0.625 0.448
Cl 0.875 0.427 0.052


# 24
Below is a relaxed Rb2NaCl crystal, with properties calculated at the PBEsol level.

Summary:
Formation energy (no corrections) (meV/atom): -814
Total energy (eV per atom): -2.178

Cell lengths 8.450, 8.450, 8.450 Å; angles 111.86, 111.86, 104.79 degrees
Sites, in units of the cell vectors:
Rb 0.039 0.625 0.914
Rb 0.375 0.289 0.414
Rb 0.711 0.125 0.086
Rb 0.875 0.961 0.586
Na 0.250 0.750 0.500
Na 0.500 0.500 0.000
Cl 0.000 0.000 0.000
Cl 0.750 0.250 0.500


# 25
Below is a relaxed Rb2NaSbCl6 crystal, with properties calculated at the PBEsol level.

Summary:
Formation energy (no corrections) (meV/atom): -1498
Total energy (eV per atom): -3.503

Cell lengths 7.517, 7.517, 7.517 Å; angles 60.00, 60.00, 60.00 degrees
Sites, in units of the cell vectors:
Rb 0.250 0.250 0.250
Rb 0.750 0.750 0.750
Na 0.000 0.000 0.000
Sb 0.500 0.500 0.500
Cl 0.253 0.253 0.747
Cl 0.253 0.747 0.253
Cl 0.253 0.747 0.747
Cl 0.747 0.253 0.253
Cl 0.747 0.253 0.747
Cl 0.747 0.747 0.253


# 26
Below is a relaxed Rb2NaSmCl6 crystal, with properties calculated at the PBEsol level.

Summary:
Formation energy (no corrections) (meV/atom): -2061
Total energy (eV per atom): -4.120

Cell lengths 7.557, 7.557, 7.557 Å; angles 60.00, 60.00, 60.00 degrees
Sites, in units of the cell vectors:
Rb 0.250 0.250 0.250
Rb 0.750 0.750 0.750
Na 0.000 0.000 0.000
Sm 0.500 0.500 0.500
Cl 0.252 0.252 0.748
Cl 0.252 0.748 0.252
Cl 0.252 0.748 0.748
Cl 0.748 0.252 0.252
Cl 0.748 0.252 0.748
Cl 0.748 0.748 0.252